1.
Compound: FeCoH2
Source: the Alexandria database
Functional: GGA-PBE
Structure: relaxed

Cell: 2.5945 2.5945 4.8689 Å, 74.55 74.55 60.00°
Sites, in units of the cell vectors:
H (0.2599, 0.2599, 0.2204)
H (0.0749, 0.0749, 0.7753)
Co (0.6698, 0.6698, 0.9907)
Fe (0.4954, 0.4954, 0.5137)

Results
distance to the lowest polymorph of the same formula	0.50	eV per formula unit

---

2.
Compound: FeCoH
Source: the Alexandria database
Functional: GGA-PBE
Structure: relaxed

Cell: 2.5737 4.1880 4.4639 Å, 90.10 90.00 90.00°
Sites, in units of the cell vectors:
Fe (0.8224, 0.3304, 0.1804)
Fe (0.8223, 0.7942, 0.5207)
H (0.8224, 0.0623, 0.8506)
H (0.3223, 0.0624, 0.3505)
Co (0.3223, 0.8036, 0.0188)
Co (0.3223, 0.3210, 0.6823)

Results
distance to the lowest polymorph of the same formula	0.01	eV per formula unit

---

3.
Compound: Fe2CoH
Source: the Alexandria database
Functional: GGA-PBE
Structure: relaxed

Cell: 2.5453 2.5453 6.5103 Å, 78.74 78.74 60.05°
Sites, in units of the cell vectors:
H (0.6683, 0.6683, 0.9949)
Fe (0.2721, 0.2721, 0.1828)
Fe (0.0607, 0.0607, 0.8199)
Co (0.4989, 0.4989, 0.5023)

Results
distance to the lowest polymorph of the same formula	0.06	eV per formula unit

---

no.,magnetic moment (μB per formula unit)
1,3.4
2,3.5
3,5.8